{"formula": "Li7Mn2Co3O12", "functional": "GGA+U", "state": "optimized geometry", "lattice": [[1.4278, 14.6681, 0.0990], [-1.4278, 14.6681, 0.0990], [0.0000, 0.9173, 5.0394]], "species": ["Li", "Li", "Li", "Li", "Li", "Li", "Li", "Mn", "Mn", "Co", "Co", "Co", "O", "O", "O", "O", "O", "O", "O", "O", "O", "O", "O", "O"], "fractional_positions": [[0.5900, 0.5900, 0.0999], [0.7435, 0.7435, 0.2046], [0.9148, 0.9148, 0.4420], [0.0879, 0.0879, 0.5902], [0.2481, 0.2481, 0.7356], [0.4151, 0.4151, 0.9198], [0.1668, 0.1668, 0.1585], [0.9992, 0.9992, 0.0129], [0.6676, 0.6676, 0.6573], [0.3326, 0.3326, 0.3312], [0.5005, 0.5005, 0.5103], [0.8335, 0.8335, 0.8317], [0.5368, 0.5368, 0.8332], [0.7066, 0.7066, 0.9179], [0.8675, 0.8675, 0.1265], [0.0364, 0.0364, 0.2870], [0.2051, 0.2051, 0.4627], [0.3714, 0.3714, 0.6444], [0.6271, 0.6271, 0.3989], [0.8003, 0.8003, 0.5392], [0.9621, 0.9621, 0.7320], [0.1303, 0.1303, 0.8511], [0.2966, 0.2966, 0.0170], [0.4601, 0.4601, 0.1960]], "n_ef_per_ev_atom": 0.086, "relative_energy_mev_per_atom": 46.1, "magnetic_moment_mub_per_fu": 9.99, "crystal_system": "monoclinic"}